No. 1
Compound: BeTl2Cu
Source: the Alexandria database
Functional: PBE
Structure: relaxed

Geometry as CIF:
```
data_BeTl2Cu
_chemical_formula_sum 'Be1 Tl2 Cu1'
_symmetry_space_group_name_H-M 'P 4/m m m'
_symmetry_Int_Tables_number 123
_symmetry_space_group_name_Hall '-P 4 2'
_cell_length_a 3.377
_cell_length_b 3.377
_cell_length_c 6.866
_cell_angle_alpha 90.00
_cell_angle_beta 90.00
_cell_angle_gamma 90.00
loop_
_atom_site_label
_atom_site_type_symbol
_atom_site_fract_x
_atom_site_fract_y
_atom_site_fract_z
_atom_site_occupancy
Be1 Be 0.000 0.000 0.000 1
Tl1 Tl 0.500 0.500 0.245 1
Cu1 Cu 0.000 0.000 0.500 1
```

Computed properties:
- electronic total energy (eV/cell) = -10.169
- ΔH_f (0 K) (meV per atom) = 597
- energy above the most stable polymorph in this dataset (meV per atom) = 302
- N(E_F) (states/eV/cell) = 1.0

=====

No. 2
Compound: BeTl2Cu
Source: the Alexandria database
Functional: PBE
Structure: relaxed

Geometry as CIF:
```
data_BeTl2Cu
_chemical_formula_sum 'Be2 Tl4 Cu2'
_symmetry_space_group_name_H-M 'C m m m'
_symmetry_Int_Tables_number 65
_symmetry_space_group_name_Hall '-C 2 2'
_cell_length_a 4.300
_cell_length_b 5.312
_cell_length_c 6.887
_cell_angle_alpha 90.00
_cell_angle_beta 90.00
_cell_angle_gamma 90.00
loop_
_atom_site_label
_atom_site_type_symbol
_atom_site_fract_x
_atom_site_fract_y
_atom_site_fract_z
_atom_site_occupancy
Be1 Be 0.000 0.000 0.000 1
Tl1 Tl 0.000 0.500 0.243 1
Cu1 Cu 0.000 0.000 0.500 1
```

Computed properties:
- electronic total energy (eV/cell) = -20.431
- ΔH_f (0 K) (meV per atom) = 585
- energy above the most stable polymorph in this dataset (meV per atom) = 290
- N(E_F) (states/eV/cell) = 2.1

=====

No. 3
Compound: Be2TlCu
Source: the Alexandria database
Functional: PBE
Structure: relaxed

Geometry as CIF:
```
data_Be2TlCu
_chemical_formula_sum 'Be8 Tl4 Cu4'
_symmetry_space_group_name_H-M 'F m -3 m'
_symmetry_Int_Tables_number 225
_symmetry_space_group_name_Hall '-F 4 2 3'
_cell_length_a 5.999
_cell_length_b 5.999
_cell_length_c 5.999
_cell_angle_alpha 90.00
_cell_angle_beta 90.00
_cell_angle_gamma 90.00
loop_
_atom_site_label
_atom_site_type_symbol
_atom_site_fract_x
_atom_site_fract_y
_atom_site_fract_z
_atom_site_occupancy
Be1 Be 0.250 0.250 0.250 1
Tl1 Tl 0.000 0.000 0.000 1
Cu1 Cu 0.000 0.000 0.500 1
```

Computed properties:
- electronic total energy (eV/cell) = -46.397
- ΔH_f (0 K) (meV per atom) = 579
- energy above the most stable polymorph in this dataset (meV per atom) = 273
- N(E_F) (states/eV/cell) = 3.4

=====

No. 4
Compound: BeTl2Cu
Source: the Alexandria database
Functional: PBE
Structure: relaxed

Geometry as CIF:
```
data_BeTl2Cu
_chemical_formula_sum 'Be2 Tl4 Cu2'
_symmetry_space_group_name_H-M 'I m m 2'
_symmetry_Int_Tables_number 44
_symmetry_space_group_name_Hall 'I 2 -2'
_cell_length_a 3.212
_cell_length_b 4.187
_cell_length_c 12.309
_cell_angle_alpha 90.00
_cell_angle_beta 90.00
_cell_angle_gamma 90.00
loop_
_atom_site_label
_atom_site_type_symbol
_atom_site_fract_x
_atom_site_fract_y
_atom_site_fract_z
_atom_site_occupancy
Be1 Be 0.000 0.000 0.000 1
Tl1 Tl 0.000 0.000 0.553 1
Tl2 Tl 0.000 0.500 0.775 1
Cu1 Cu 0.000 0.500 0.373 1
```

Computed properties:
- electronic total energy (eV/cell) = -21.714
- ΔH_f (0 K) (meV per atom) = 424
- energy above the most stable polymorph in this dataset (meV per atom) = 130
- N(E_F) (states/eV/cell) = 3.1

=====

No. 5
Compound: BeTl2Cu
Source: the Alexandria database
Functional: PBE
Structure: relaxed

Geometry as CIF:
```
data_BeTl2Cu
_chemical_formula_sum 'Be1 Tl2 Cu1'
_symmetry_space_group_name_H-M 'P 4 m m'
_symmetry_Int_Tables_number 99
_symmetry_space_group_name_Hall 'P 4 -2'
_cell_length_a 3.134
_cell_length_b 3.134
_cell_length_c 8.566
_cell_angle_alpha 90.00
_cell_angle_beta 90.00
_cell_angle_gamma 90.00
loop_
_atom_site_label
_atom_site_type_symbol
_atom_site_fract_x
_atom_site_fract_y
_atom_site_fract_z
_atom_site_occupancy
Be1 Be 0.000 0.000 0.000 1
Tl1 Tl 0.000 0.000 0.337 1
Tl2 Tl 0.500 0.500 0.726 1
Cu1 Cu 0.500 0.500 0.067 1
```

Computed properties:
- electronic total energy (eV/cell) = -11.377
- ΔH_f (0 K) (meV per atom) = 295
- energy above the most stable polymorph in this dataset (meV per atom) = 0
- N(E_F) (states/eV/cell) = 0.8

=====

No. 6
Compound: BeTl2Cu
Source: the Alexandria database
Functional: PBE
Structure: relaxed

Geometry as CIF:
```
data_BeTl2Cu
_chemical_formula_sum 'Be4 Tl8 Cu4'
_symmetry_space_group_name_H-M 'F -4 3 m'
_symmetry_Int_Tables_number 216
_symmetry_space_group_name_Hall 'F -4 2 3'
_cell_length_a 6.938
_cell_length_b 6.938
_cell_length_c 6.938
_cell_angle_alpha 90.00
_cell_angle_beta 90.00
_cell_angle_gamma 90.00
loop_
_atom_site_label
_atom_site_type_symbol
_atom_site_fract_x
_atom_site_fract_y
_atom_site_fract_z
_atom_site_occupancy
Be1 Be 0.000 0.000 0.000 1
Tl1 Tl 0.000 0.000 0.500 1
Tl2 Tl 0.250 0.250 0.750 1
Cu1 Cu 0.250 0.250 0.250 1
```

Computed properties:
- electronic total energy (eV/cell) = -38.659
- ΔH_f (0 K) (meV per atom) = 723
- energy above the most stable polymorph in this dataset (meV per atom) = 428
- N(E_F) (states/eV/cell) = 1.0

=====

No. 7
Compound: Be2TlCu
Source: the Alexandria database
Functional: PBE
Structure: relaxed

Geometry as CIF:
```
data_Be2TlCu
_chemical_formula_sum 'Be2 Tl1 Cu1'
_symmetry_space_group_name_H-M 'P 1'
_symmetry_Int_Tables_number 1
_symmetry_space_group_name_Hall 'P 1'
_cell_length_a 3.894
_cell_length_b 3.901
_cell_length_c 4.948
_cell_angle_alpha 81.41
_cell_angle_beta 87.40
_cell_angle_gamma 60.31
loop_
_atom_site_label
_atom_site_type_symbol
_atom_site_fract_x
_atom_site_fract_y
_atom_site_fract_z
_atom_site_occupancy
Be1 Be 0.000 0.000 0.000 1
Be2 Be 0.339 0.314 0.031 1
Tl1 Tl 0.038 0.714 0.516 1
Cu1 Cu 0.666 0.653 0.029 1
```

Computed properties:
- electronic total energy (eV/cell) = -12.693
- ΔH_f (0 K) (meV per atom) = 305
- energy above the most stable polymorph in this dataset (meV per atom) = 0
- N(E_F) (states/eV/cell) = 1.7

=====

No. 8
Compound: Be2TlCu
Source: the Alexandria database
Functional: PBE
Structure: relaxed

Geometry as CIF:
```
data_Be2TlCu
_chemical_formula_sum 'Be4 Tl2 Cu2'
_symmetry_space_group_name_H-M 'I 4/m m m'
_symmetry_Int_Tables_number 139
_symmetry_space_group_name_Hall '-I 4 2'
_cell_length_a 3.957
_cell_length_b 3.957
_cell_length_c 6.910
_cell_angle_alpha 90.00
_cell_angle_beta 90.00
_cell_angle_gamma 90.00
loop_
_atom_site_label
_atom_site_type_symbol
_atom_site_fract_x
_atom_site_fract_y
_atom_site_fract_z
_atom_site_occupancy
Be1 Be 0.000 0.500 0.250 1
Tl1 Tl 0.000 0.000 0.000 1
Cu1 Cu 0.000 0.000 0.500 1
```

Computed properties:
- electronic total energy (eV/cell) = -23.382
- ΔH_f (0 K) (meV per atom) = 556
- energy above the most stable polymorph in this dataset (meV per atom) = 250
- N(E_F) (states/eV/cell) = 2.1

=====

No. 9
Compound: BeTl2Cu
Source: the Alexandria database
Functional: PBE
Structure: relaxed

Geometry as CIF:
```
data_BeTl2Cu
_chemical_formula_sum 'Be2 Tl4 Cu2'
_symmetry_space_group_name_H-M 'C 1 2/m 1'
_symmetry_Int_Tables_number 12
_symmetry_space_group_name_Hall '-C 2y'
_cell_length_a 8.204
_cell_length_b 3.339
_cell_length_c 5.984
_cell_angle_alpha 90.00
_cell_angle_beta 104.77
_cell_angle_gamma 90.00
loop_
_atom_site_label
_atom_site_type_symbol
_atom_site_fract_x
_atom_site_fract_y
_atom_site_fract_z
_atom_site_occupancy
Be1 Be 0.000 0.000 0.000 1
Tl1 Tl 0.246 0.500 0.242 1
Cu1 Cu 0.000 0.500 0.500 1
```

Computed properties:
- electronic total energy (eV/cell) = -20.587
- ΔH_f (0 K) (meV per atom) = 565
- energy above the most stable polymorph in this dataset (meV per atom) = 271
- N(E_F) (states/eV/cell) = 2.9

=====

No. 10
Compound: BeTl2Cu2
Source: the Alexandria database
Functional: PBE
Structure: relaxed

Geometry as CIF:
```
data_BeTl2Cu2
_chemical_formula_sum 'Be2 Tl4 Cu4'
_symmetry_space_group_name_H-M 'I 4/m m m'
_symmetry_Int_Tables_number 139
_symmetry_space_group_name_Hall '-I 4 2'
_cell_length_a 3.408
_cell_length_b 3.408
_cell_length_c 16.073
_cell_angle_alpha 90.00
_cell_angle_beta 90.00
_cell_angle_gamma 90.00
loop_
_atom_site_label
_atom_site_type_symbol
_atom_site_fract_x
_atom_site_fract_y
_atom_site_fract_z
_atom_site_occupancy
Be1 Be 0.000 0.000 0.000 1
Tl1 Tl 0.000 0.000 0.398 1
Cu1 Cu 0.000 0.500 0.250 1
```

Computed properties:
- electronic total energy (eV/cell) = -28.148
- ΔH_f (0 K) (meV per atom) = 515
- energy above the most stable polymorph in this dataset (meV per atom) = 67
- N(E_F) (states/eV/cell) = 2.6

=====

No. 11
Compound: Be2TlCu
Source: the Alexandria database
Functional: PBE
Structure: relaxed

Geometry as CIF:
```
data_Be2TlCu
_chemical_formula_sum 'Be2 Tl1 Cu1'
_symmetry_space_group_name_H-M 'P 1 2/m 1'
_symmetry_Int_Tables_number 10
_symmetry_space_group_name_Hall '-P 2y'
_cell_length_a 2.944
_cell_length_b 4.001
_cell_length_c 5.074
_cell_angle_alpha 90.00
_cell_angle_beta 99.05
_cell_angle_gamma 90.00
loop_
_atom_site_label
_atom_site_type_symbol
_atom_site_fract_x
_atom_site_fract_y
_atom_site_fract_z
_atom_site_occupancy
Be1 Be 0.198 0.000 0.328 1
Tl1 Tl 0.000 0.500 0.000 1
Cu1 Cu 0.500 0.500 0.500 1
```

Computed properties:
- electronic total energy (eV/cell) = -11.929
- ΔH_f (0 K) (meV per atom) = 497
- energy above the most stable polymorph in this dataset (meV per atom) = 191
- N(E_F) (states/eV/cell) = 1.2

=====

No. 12
Compound: Be2TlCu
Source: the Alexandria database
Functional: PBE
Structure: relaxed

Geometry as CIF:
```
data_Be2TlCu
_chemical_formula_sum 'Be6 Tl3 Cu3'
_symmetry_space_group_name_H-M 'R -3 m'
_symmetry_Int_Tables_number 166
_symmetry_space_group_name_Hall '-R 3 2"'
_cell_length_a 2.9653
_cell_length_b 2.9653
_cell_length_c 23.6171
_cell_angle_alpha 90.00
_cell_angle_beta 90.00
_cell_angle_gamma 120.00
loop_
_atom_site_label
_atom_site_type_symbol
_atom_site_fract_x
_atom_site_fract_y
_atom_site_fract_z
_atom_site_occupancy
Be1 Be 0.0000 0.0000 0.2355 1
Tl1 Tl 0.0000 0.0000 0.0000 1
Cu1 Cu 0.0000 0.0000 0.5000 1
```

Computed properties:
- electronic total energy (eV/cell) = -34.160
- ΔH_f (0 K) (meV per atom) = 632
- energy above the most stable polymorph in this dataset (meV per atom) = 327
- N(E_F) (states/eV/cell) = 2.6